Record 1
Below is a geometry-optimized ZrAl2Si structure, with properties calculated at the PBE level.

Results
- M_tot: 0.000 μB per formula unit
- DOS(E_F): 4.7 states/eV/cell
- Formation energy without anion corrections: -39.9 kJ per mole of atoms

Cell lengths 5.096, 7.727, 6.943 Å; angles 90.00, 90.00, 90.00 degrees
Fractional coordinates of all 16 atoms:
Zr 0.383 0.250 0.975
Si 0.112 0.750 0.885
Si 0.388 0.750 0.385
Si 0.612 0.250 0.615
Si 0.888 0.250 0.115
Zr 0.883 0.750 0.525
Al 0.099 0.551 0.184
Al 0.401 0.949 0.684
Al 0.599 0.051 0.316
Al 0.901 0.449 0.816
Zr 0.117 0.250 0.475
Al 0.901 0.051 0.816
Al 0.401 0.551 0.684
Al 0.099 0.949 0.184
Al 0.599 0.449 0.316
Zr 0.617 0.750 0.025


Record 2
Below is a geometry-optimized ZrAl2Si structure, with properties calculated at the PBE level.

Results
- M_tot: 0.000 μB per formula unit
- DOS(E_F): 4.4 states/eV/cell
- Formation energy without anion corrections: 1.3 kJ per mole of atoms

Cell lengths 4.699, 4.699, 7.583 Å; angles 90.00, 90.00, 120.00 degrees
Fractional coordinates of all 8 atoms:
Zr 0.000 0.000 0.750
Al 0.333 0.667 0.072
Al 0.667 0.333 0.928
Si 0.333 0.667 0.750
Al 0.333 0.667 0.428
Zr 0.000 0.000 0.250
Si 0.667 0.333 0.250
Al 0.667 0.333 0.572


Record 3
Below is a geometry-optimized ZrAl3Si3 structure, with properties calculated at the PBE level.

Results
- Energy relative to the lowest polymorph listed for this composition: 0.0000 eV per atom
- M_tot: 0.000 μB per formula unit
- DOS(E_F): 5.1 states/eV/cell
- Formation energy without anion corrections: -15.3 kJ per mole of atoms

Cell lengths 8.612, 8.612, 3.757 Å; angles 90.00, 90.00, 120.00 degrees
Fractional coordinates of all 14 atoms:
Al 0.745 0.858 0.250
Si 0.448 0.388 0.250
Al 0.255 0.142 0.750
Si 0.059 0.447 0.750
Al 0.887 0.745 0.750
Si 0.388 0.941 0.750
Si 0.552 0.612 0.750
Al 0.113 0.255 0.250
Zr 0.667 0.333 0.750
Zr 0.333 0.667 0.250
Al 0.858 0.113 0.750
Al 0.142 0.887 0.250
Si 0.941 0.553 0.250
Si 0.612 0.059 0.250


Record 4
Below is a geometry-optimized ZrAl2Si3 structure, with properties calculated at the PBE level.

Results
- Energy relative to the lowest polymorph listed for this composition: 0.3181 eV per atom
- M_tot: 0.000 μB per formula unit
- DOS(E_F): 4.3 states/eV/cell
- Formation energy without anion corrections: 14.6 kJ per mole of atoms

Cell lengths 5.172, 5.172, 4.258 Å; angles 90.00, 90.00, 120.00 degrees
Fractional coordinates of all 6 atoms:
Al 0.333 0.667 0.000
Zr 0.000 0.000 0.000
Al 0.667 0.333 0.000
Si 0.500 0.500 0.500
Si 0.000 0.500 0.500
Si 0.500 0.000 0.500


Record 5
Below is a geometry-optimized ZrAl2Si structure, with properties calculated at the PBE level.

Results
- M_tot: 0.000 μB per formula unit
- DOS(E_F): 2.2 states/eV/cell
- Formation energy without anion corrections: -20.5 kJ per mole of atoms

Cell lengths 3.384, 3.384, 6.043 Å; angles 90.00, 90.00, 90.00 degrees
Fractional coordinates of all 4 atoms:
Al 0.000 0.000 0.465
Zr 0.500 0.500 0.750
Si 0.500 0.500 0.250
Al 0.000 0.000 0.035


Record 6
Below is a geometry-optimized ZrAl2Si structure, with properties calculated at the PBE level.

Results
- M_tot: 0.014 μB per formula unit
- DOS(E_F): 3.4 states/eV/cell
- Formation energy without anion corrections: 43.1 kJ per mole of atoms

Cell lengths 3.617, 3.617, 7.617 Å; angles 90.00, 90.00, 120.00 degrees
Fractional coordinates of all 4 atoms:
Si 0.000 0.000 0.990
Zr 0.667 0.333 0.553
Al 0.333 0.667 0.819
Al 0.667 0.333 0.184


Record 7
Below is a geometry-optimized ZrAl2Si structure, with properties calculated at the PBE level.

Results
- M_tot: 0.000 μB per formula unit
- DOS(E_F): 3.8 states/eV/cell
- Formation energy without anion corrections: -16.7 kJ per mole of atoms

Cell lengths 4.231, 5.503, 6.009 Å; angles 90.00, 90.00, 90.00 degrees
Fractional coordinates of all 8 atoms:
Al 0.500 0.000 0.000
Zr 0.000 0.250 0.317
Al 0.000 0.250 0.827
Si 0.500 0.250 0.606
Si 0.500 0.750 0.394
Zr 0.000 0.750 0.683
Al 0.000 0.750 0.173
Al 0.500 0.500 0.000


Record 8
Below is a geometry-optimized Zr3Al2Si3 structure, with properties calculated at the PBE level.

Results
- Energy relative to the lowest polymorph listed for this composition: 0.1586 eV per atom
- M_tot: 0.000 μB per formula unit
- DOS(E_F): 7.5 states/eV/cell
- Formation energy without anion corrections: -41.9 kJ per mole of atoms

Cell lengths 9.363, 7.213, 5.293 Å; angles 71.50, 72.00, 67.47 degrees
Fractional coordinates of all 16 atoms:
Zr 0.391 0.710 0.677
Al 0.733 0.650 0.325
Si 0.494 0.008 0.751
Si 0.506 0.992 0.249
Al 0.921 0.274 0.412
Al 0.079 0.726 0.588
Zr 0.923 0.400 0.858
Zr 0.221 0.019 0.146
Si 0.346 0.608 0.245
Zr 0.077 0.600 0.142
Zr 0.779 0.981 0.854
Al 0.267 0.350 0.675
Si 0.902 0.993 0.248
Si 0.098 0.007 0.752
Zr 0.609 0.290 0.323
Si 0.654 0.392 0.755